1.
DFT (PBEsol) results for a relaxed structure of BaAgAs.

Geometry as extended XYZ:
```
3
Lattice="-1.692 1.834 -3.128 2.916 -2.195 -1.640 -4.034 -3.942 1.818" Properties=species:S:1:pos:R:3 pbc="T T T"
As -0.279 -1.254 -2.531
Ba -2.242 -2.701 -0.371
Ag -0.289 -0.349 -0.048
```

Results
For the mass density, the calculation gives 6.35 Mg/m³. The total DFT energy (no corrections) is -11.32 eV per cell. The formation energy comes out at -24.22 kJ per mole of atoms. The volume comes out at 27.92 A^3/atom. The total magnetization comes out at 0.0 μB per formula unit.

2.
DFT (PBEsol) results for a relaxed structure of Ba2Ag2As.

Geometry as extended XYZ:
```
5
Lattice="-3.764 0.299 1.206 0.973 -1.684 3.453 3.190 8.998 1.215" Properties=species:S:1:pos:R:3 pbc="T T T"
As 0.000 0.000 0.000
Ba 1.455 6.732 2.873
Ba -1.055 0.880 3.001
Ag 1.384 3.310 3.499
Ag -0.984 4.302 2.375
```

Results
For the mass density, the calculation gives 6.49 Mg/m³. The total DFT energy (no corrections) is -18.37 eV per cell. The formation energy comes out at -45.26 kJ per mole of atoms. The volume comes out at 28.92 A^3/atom. The total magnetization comes out at 0.0 μB per formula unit.

3.
DFT (PBEsol) results for a relaxed structure of Ba2AgAsI.

Geometry as extended XYZ:
```
5
Lattice="-3.347 -2.806 -2.042 3.565 -0.481 -5.182 2.813 -5.107 2.408" Properties=species:S:1:pos:R:3 pbc="T T T"
I 1.515 -4.197 -2.408
As 0.000 0.000 0.000
Ba 1.406 -2.553 1.204
Ba 1.782 -0.240 -2.591
Ag -1.673 -1.403 -1.021
```

Results
For the mass density, the calculation gives 5.06 Mg/m³. The total DFT energy (no corrections) is -18.42 eV per cell. The energy relative to the elements, uncorrected comes out at -76.0 kJ/mol of atoms. The volume comes out at 38.37 A^3/atom. The total magnetization comes out at 0.0 μB per formula unit.

4.
DFT (PBEsol) results for a relaxed structure of Be3AgAs.

Geometry as extended XYZ:
```
5
Lattice="-3.363 -1.823 1.925 1.359 -3.855 -1.278 2.277 -0.393 3.606" Properties=species:S:1:pos:R:3 pbc="T T T"
Be 0.679 -1.928 -0.639
Be 1.138 -0.196 1.803
Be -1.682 -0.912 0.963
As 0.136 -3.036 2.127
Ag 0.000 0.000 0.000
```

Results
For the mass density, the calculation gives 4.44 Mg/m³. The total DFT energy (no corrections) is -15.74 eV per cell. The formation energy comes out at 90.27 kJ per mole of atoms. The volume comes out at 15.71 A^3/atom. The total magnetization comes out at 0.0 μB per formula unit.

5.
DFT (PBEsol) results for a relaxed structure of BeAgAs.

Geometry as extended XYZ:
```
3
Lattice="-0.859 2.802 0.274 -0.250 -1.846 2.280 5.438 1.490 1.803" Properties=species:S:1:pos:R:3 pbc="T T T"
Be 1.177 1.755 1.550
As 2.966 0.641 2.745
Ag 0.186 0.051 0.062
```

Results
For the mass density, the calculation gives 7.17 Mg/m³. The total DFT energy (no corrections) is -11.68 eV per cell. The formation energy comes out at 23.79 kJ per mole of atoms. The volume comes out at 14.81 A^3/atom. The total magnetization comes out at 0.0 μB per formula unit.

6.
DFT (PBEsol) results for a relaxed structure of Mg2BeAgAs.

Geometry as extended XYZ:
```
5
Lattice="-0.527 0.830 -3.958 -0.965 -4.691 -0.855 -4.727 0.827 0.802" Properties=species:S:1:pos:R:3 pbc="T T T"
Be 0.000 0.000 0.000
As -0.263 0.415 -1.979
Mg -2.363 0.413 0.401
Mg -0.483 -2.345 -0.428
Ag -3.109 -1.517 -2.005
```

Results
For the mass density, the calculation gives 4.14 Mg/m³. The total DFT energy (no corrections) is -14.28 eV per cell. The formation energy comes out at 30.27 kJ per mole of atoms. The volume comes out at 19.30 A^3/atom. The total magnetization comes out at 0.0 μB per formula unit.

7.
DFT (PBEsol) results for a relaxed structure of Na2BeAgAs.

Geometry as extended XYZ:
```
5
Lattice="-3.580 -0.188 1.547 -1.206 -4.226 -3.306 1.833 -3.509 3.816" Properties=species:S:1:pos:R:3 pbc="T T T"
Na 0.917 -1.754 1.908
Na -0.603 -2.113 -1.653
As -1.790 -0.094 0.774
Ag -1.477 -3.961 1.029
Be 0.000 0.000 0.000
```

Results
For the mass density, the calculation gives 3.34 Mg/m³. The total DFT energy (no corrections) is -13.95 eV per cell. The formation energy comes out at 24.54 kJ per mole of atoms. The volume comes out at 23.62 A^3/atom. The total magnetization comes out at 0.0 μB per formula unit.

8.
DFT (PBEsol) results for a relaxed structure of Li2AgBiAs.

Geometry as extended XYZ:
```
5
Lattice="4.673 0.000 0.000 0.000 4.673 0.000 0.000 0.000 4.976" Properties=species:S:1:pos:R:3 pbc="T T T"
As 0.000 0.000 0.000
Bi 2.336 2.336 2.488
Ag 0.000 0.000 2.488
Li 0.000 2.336 0.000
Li 2.336 0.000 0.000
```

Results
For the mass density, the calculation gives 6.20 Mg/m³. The total DFT energy (no corrections) is -16.84 eV per cell. The formation energy comes out at -3.83 kJ per mole of atoms. The volume comes out at 21.73 A^3/atom. The total magnetization comes out at 0.0 μB per formula unit.

9.
DFT (PBEsol) results for a relaxed structure of AgBiAsP2.

Geometry as extended XYZ:
```
5
Lattice="-0.539 -1.388 4.375 4.536 0.506 0.719 -0.844 5.314 1.582" Properties=species:S:1:pos:R:3 pbc="T T T"
P 2.268 0.253 0.360
P -0.269 -0.694 2.187
As 1.577 2.217 3.338
Bi -0.422 2.657 0.791
Ag 0.000 0.000 0.000
```

Results
For the mass density, the calculation gives 6.29 Mg/m³. The total DFT energy (no corrections) is -19.09 eV per cell. The formation energy comes out at 100.24 kJ per mole of atoms. The volume comes out at 23.95 A^3/atom. The total magnetization comes out at 0.0 μB per formula unit.

10.
DFT (PBEsol) results for a relaxed structure of AgBiAs2Se.

Geometry as extended XYZ:
```
5
Lattice="-0.994 -2.907 4.413 -4.083 -2.427 -2.519 3.385 -3.852 -1.775" Properties=species:S:1:pos:R:3 pbc="T T T"
As -2.042 -1.214 -1.259
As -0.497 -1.453 2.207
Se 1.692 -1.926 -0.887
Bi 0.000 0.000 0.000
Ag -0.847 -4.593 0.060
```

Results
For the mass density, the calculation gives 5.78 Mg/m³. The total DFT energy (no corrections) is -15.97 eV per cell. The energy relative to the elements, uncorrected comes out at 109.7 kJ/mol of atoms. The volume comes out at 31.38 A^3/atom. The total magnetization comes out at 0.9 μB per formula unit.

11.
DFT (PBEsol) results for a relaxed structure of Ag2AsBr.

Geometry as extended XYZ:
```
4
Lattice="-3.268 -0.247 0.479 0.766 -0.779 4.832 -0.459 4.896 -0.605" Properties=species:S:1:pos:R:3 pbc="T T T"
As -1.634 -0.124 0.239
Br -1.481 1.935 2.353
Ag 0.383 -0.390 2.416
Ag -0.230 2.448 -0.303
```

Results
For the mass density, the calculation gives 7.90 Mg/m³. The total DFT energy (no corrections) is -12.59 eV per cell. The energy relative to the elements, uncorrected comes out at 24.2 kJ/mol of atoms. The volume comes out at 19.46 A^3/atom. The total magnetization comes out at 0.0 μB per formula unit.

12.
DFT (PBEsol) results for a relaxed structure of Ag2As2Br.

Geometry as extended XYZ:
```
5
Lattice="4.755 0.000 0.000 0.000 4.755 0.000 -2.378 -2.378 4.701" Properties=species:S:1:pos:R:3 pbc="T T T"
As 0.000 0.000 3.513
As 2.378 2.378 1.188
Br 0.000 0.000 0.000
Ag 0.000 2.378 2.350
Ag 2.378 0.000 2.350
```

Results
For the mass density, the calculation gives 6.96 Mg/m³. The total DFT energy (no corrections) is -17.63 eV per cell. The energy relative to the elements, uncorrected comes out at 20.7 kJ/mol of atoms. The volume comes out at 21.26 A^3/atom. The total magnetization comes out at 0.0 μB per formula unit.

13.
DFT (PBEsol) results for a relaxed structure of Ag2AsBr.

Geometry as extended XYZ:
```
4
Lattice="4.303 0.000 0.000 0.000 4.303 0.000 -2.152 -2.152 4.212" Properties=species:S:1:pos:R:3 pbc="T T T"
As 2.152 2.152 0.000
Br 0.000 0.000 0.000
Ag 2.152 0.000 2.106
Ag 0.000 2.152 2.106
```

Results
For the mass density, the calculation gives 7.89 Mg/m³. The total DFT energy (no corrections) is -12.07 eV per cell. The energy relative to the elements, uncorrected comes out at 36.9 kJ/mol of atoms. The volume comes out at 19.50 A^3/atom. The total magnetization comes out at 0.0 μB per formula unit.

14.
DFT (PBEsol) results for a relaxed structure of CaAgAsBr2.

Geometry as extended XYZ:
```
5
Lattice="-1.407 0.331 -4.858 -1.850 -4.873 0.204 -4.657 1.830 1.474" Properties=species:S:1:pos:R:3 pbc="T T T"
As -0.703 0.166 -2.429
Ca -3.957 -1.356 -1.590
Br -2.329 0.915 0.737
Br -0.925 -2.436 0.102
Ag 0.000 0.000 0.000
```

Results
For the mass density, the calculation gives 4.61 Mg/m³. The total DFT energy (no corrections) is -15.90 eV per cell. The energy relative to the elements, uncorrected comes out at -31.1 kJ/mol of atoms. The volume comes out at 27.58 A^3/atom. The total magnetization comes out at 0.9 μB per formula unit.

15.
DFT (PBEsol) results for a relaxed structure of Cs2AgAsBr6.

Geometry as extended XYZ:
```
10
Lattice="-6.866 -3.310 0.422 -2.997 -3.372 -6.159 -0.594 -7.606 -0.277" Properties=species:S:1:pos:R:3 pbc="T T T"
Cs -7.843 -10.716 -4.511
Cs -2.614 -3.572 -1.504
As 0.000 0.000 0.000
Br -6.063 -5.190 -1.260
Br -7.591 -6.909 -4.398
Br -4.394 -9.098 -4.755
Br -6.366 -9.067 -1.401
Br -4.091 -5.222 -4.613
Br -2.867 -7.380 -1.616
Ag -5.229 -7.144 -3.007
```

Results
For the mass density, the calculation gives 4.90 Mg/m³. The total DFT energy (no corrections) is -31.53 eV per cell. The energy relative to the elements, uncorrected comes out at -96.6 kJ/mol of atoms. The volume comes out at 31.46 A^3/atom. The total magnetization comes out at 0.0 μB per formula unit.

16.
DFT (PBEsol) results for a relaxed structure of AgAsHBr2.

Geometry as extended XYZ:
```
5
Lattice="3.470 0.000 0.000 0.000 5.128 0.000 0.000 0.000 5.128" Properties=species:S:1:pos:R:3 pbc="T T T"
H 0.000 0.000 0.000
As 1.735 0.000 0.000
Br 0.000 0.000 2.564
Br 0.000 2.564 0.000
Ag 1.735 2.564 2.564
```

Results
For the mass density, the calculation gives 6.25 Mg/m³. The total DFT energy (no corrections) is -13.84 eV per cell. The volume comes out at 18.25 A^3/atom. The total magnetization comes out at 0.0 μB per formula unit.

17.
DFT (PBEsol) results for a relaxed structure of K2AgAsBr6.

Geometry as extended XYZ:
```
10
Lattice="7.558 0.000 0.000 3.779 6.545 0.000 3.779 2.182 6.171" Properties=species:S:1:pos:R:3 pbc="T T T"
K 11.337 6.545 4.628
K 3.779 2.182 1.543
Ag 7.558 4.364 3.085
As 0.000 0.000 0.000
Br 7.558 2.146 1.518
Br 9.478 5.472 1.518
Br 7.558 6.581 4.653
Br 9.478 3.255 4.653
Br 5.638 5.472 1.518
Br 5.638 3.255 4.653
```

Results
For the mass density, the calculation gives 4.03 Mg/m³. The total DFT energy (no corrections) is -31.04 eV per cell. The energy relative to the elements, uncorrected comes out at -88.2 kJ/mol of atoms. The volume comes out at 30.53 A^3/atom. The total magnetization comes out at 0.0 μB per formula unit.

18.
DFT (PBEsol) results for a relaxed structure of Na2AgAsBr6.

Geometry as extended XYZ:
```
10
Lattice="-0.368 -1.467 -7.362 6.312 -1.032 -3.946 1.755 -6.845 -2.560" Properties=species:S:1:pos:R:3 pbc="T T T"
Na 5.774 -7.008 -10.400
Na 1.925 -2.336 -3.467
Ag 3.850 -4.672 -6.934
As 0.000 0.000 0.000
Br 1.710 -3.046 -7.151
Br 4.913 -3.570 -9.153
Br 5.989 -6.298 -6.716
Br 2.600 -6.519 -8.449
Br 5.099 -2.825 -5.418
Br 2.787 -5.774 -4.714
```

Results
For the mass density, the calculation gives 3.92 Mg/m³. The total DFT energy (no corrections) is -29.70 eV per cell. The energy relative to the elements, uncorrected comes out at -70.0 kJ/mol of atoms. The volume comes out at 30.01 A^3/atom. The total magnetization comes out at 0.0 μB per formula unit.

19.
DFT (PBEsol) results for a relaxed structure of NiAgAs2Br.

Geometry as extended XYZ:
```
5
Lattice="-2.972 0.464 -3.839 -1.902 -4.391 0.942 -3.524 2.168 2.990" Properties=species:S:1:pos:R:3 pbc="T T T"
Ni -4.199 -0.880 0.046
As -0.951 -2.196 0.471
As -1.486 0.232 -1.920
Br -1.762 1.084 1.495
Ag 0.000 0.000 0.000
```

Results
For the mass density, the calculation gives 5.42 Mg/m³. The total DFT energy (no corrections) is -15.31 eV per cell. The energy relative to the elements, uncorrected comes out at 120.4 kJ/mol of atoms. The volume comes out at 24.29 A^3/atom. The total magnetization comes out at 0.2 μB per formula unit.

20.
DFT (PBEsol) results for a relaxed structure of AgAs2PtBr.

Geometry as extended XYZ:
```
5
Lattice="4.883 0.000 0.000 0.000 4.883 0.000 0.000 0.000 4.905" Properties=species:S:1:pos:R:3 pbc="T T T"
As 0.000 2.441 0.000
As 2.441 0.000 0.000
Br 0.000 0.000 2.452
Ag 0.000 0.000 0.000
Pt 2.441 2.441 2.452
```

Results
For the mass density, the calculation gives 7.56 Mg/m³. The total DFT energy (no corrections) is -16.30 eV per cell. The energy relative to the elements, uncorrected comes out at 116.8 kJ/mol of atoms. The volume comes out at 23.39 A^3/atom. The total magnetization comes out at 0.0 μB per formula unit.